! PrSc4Hg5 PBE relaxed; values from VASP
! DOS(E_F): 9.28 states/eV/f.u.
! SG: No. 123
! Magnetization: 0.6 μB per formula unit
! Total energy: -3.591 eV per atom
! Energy of formation: -0.4300 eV per atom
&SYSTEM
  ibrav = 0, nat = 10, ntyp = 3
/
ATOMIC_SPECIES
Hg 200.59 Hg.upf
Sc 44.96 Sc.upf
Pr 140.91 Pr.upf
ATOMIC_POSITIONS crystal
Hg 0.5000 0.5000 0.6909
Hg 0.5000 0.5000 0.1221
Hg 0.5000 0.5000 0.3091
Hg 0.5000 0.5000 0.5000
Hg 0.5000 0.5000 0.8779
Sc 0.0000 0.0000 0.2139
Sc 0.0000 0.0000 0.5952
Sc 0.0000 0.0000 0.7861
Sc 0.0000 0.0000 0.4048
Pr 0.0000 0.0000 0.0000
CELL_PARAMETERS angstrom
-0.9349 3.4030 0.4991
-2.1119 -0.9762 2.7001
13.8564 2.1054 11.5994

---

! SrPrTl PBE relaxed; values from VASP
! DOS(E_F): 1.97 states/eV/f.u.
! SG: No. 156
! Magnetization: 0.0 μB per formula unit
! Total energy: -3.096 eV per atom
! Energy of formation: -0.1540 eV per atom
&SYSTEM
  ibrav = 0, nat = 3, ntyp = 3
/
ATOMIC_SPECIES
Sr 87.62 Sr.upf
Pr 140.91 Pr.upf
Tl 204.38 Tl.upf
ATOMIC_POSITIONS crystal
Sr 0.3584 0.3333 0.6667
Pr 0.9062 0.0000 0.0000
Tl 0.7354 0.6667 0.3333
CELL_PARAMETERS angstrom
4.0498 0.0000 0.0000
0.0000 5.5430 0.0000
0.0000 -2.7715 4.8004